Record 1
## Tb2DyHoSb4 (GGA-PBE)

Data for a relaxed Tb2DyHoSb4 crystal.

Output
Spin magnetization = 0.00 μB/f.u.
Raw formation energy = -1.136 eV/atom
ρ = 7.9 g/cm³

Geometry as CIF:
```
data_Tb2DyHoSb4
_cell_length_a 7.5995
_cell_length_b 4.3905
_cell_length_c 7.6005
_cell_angle_alpha 90.00
_cell_angle_beta 109.47
_cell_angle_gamma 90.00
_space_group_name_H-M_alt 'P 1 2/m 1'
_space_group_IT_number 10
loop_
_space_group_symop_operation_xyz
'x,y,z'
'-x,-y,-z'
'-x,y,-z'
'x,-y,z'
loop_
_atom_site_label
_atom_site_type_symbol
_atom_site_fract_x
_atom_site_fract_y
_atom_site_fract_z
Tb1 Tb 0.0000 0.0000 0.0000
Tb2 Tb 0.5000 0.5000 0.0000
Dy1 Dy 0.0000 0.5000 0.5000
Ho1 Ho 0.5000 0.0000 0.5000
Sb1 Sb 0.2500 0.0000 0.7485
Sb2 Sb 0.2512 0.5000 0.2520
```

Record 2
## NaSrTl2Hg (GGA-PBE)

Data for a relaxed NaSrTl2Hg crystal.

Output
ΔE_f = 234 meV/atom
Spin magnetization = 0.00 μB/f.u.
ρ = 6.2 g/cm³

Geometry as CIF:
```
data_NaSrTl2Hg
_cell_length_a 5.5314
_cell_length_b 5.5314
_cell_length_c 6.3066
_cell_angle_alpha 90.00
_cell_angle_beta 90.00
_cell_angle_gamma 90.00
_space_group_name_H-M_alt 'P 4/m m m'
_space_group_IT_number 123
_space_group_name_Hall '-P 4 2'
loop_
_atom_site_label
_atom_site_type_symbol
_atom_site_fract_x
_atom_site_fract_y
_atom_site_fract_z
Na1 Na 0.0000 0.0000 0.0000
Sr1 Sr 0.0000 0.0000 0.5000
Tl1 Tl 0.0000 0.5000 0.0000
Hg1 Hg 0.5000 0.5000 0.5000
```

Record 3
## Ce3Sm3HoSe8 (GGA-PBE)

Data for a relaxed Ce3Sm3HoSe8 crystal.

Output
Spin magnetization = 3.59 μB/f.u.
Raw formation energy = -1.856 eV/atom
ρ = 6.7 g/cm³

Geometry as CIF:
```
data_Ce3Sm3HoSe8
_cell_length_a 8.3573
_cell_length_b 8.3573
_cell_length_c 20.4260
_cell_angle_alpha 90.00
_cell_angle_beta 90.00
_cell_angle_gamma 120.00
_space_group_name_H-M_alt 'R -3 m'
_space_group_IT_number 166
_space_group_name_Hall '-R 3 2"'
loop_
_atom_site_label
_atom_site_type_symbol
_atom_site_fract_x
_atom_site_fract_y
_atom_site_fract_z
Ce1 Ce 0.0000 0.5000 0.0000
Sm1 Sm 0.0000 0.5000 0.5000
Ho1 Ho 0.0000 0.0000 0.0000
Se1 Se 0.0000 0.0000 0.2489
Se2 Se 0.0062 0.5031 0.7495
```